(1)
Na2YBr2 | the Alexandria database | PBE | optimized geometry; ΔE_f (raw) = -73 kJ/mol of atoms
1.0
8.0874 0.0000 0.0000
0.0000 8.0874 0.0000
0.0000 0.0000 4.2960
Na Y Br
4 2 4
Direct
0.1581 0.3419 0.0000 Na
0.3419 0.8419 0.0000 Na
0.6581 0.1581 0.0000 Na
0.8419 0.6581 0.0000 Na
0.0000 0.0000 0.5000 Y
0.5000 0.5000 0.5000 Y
0.1640 0.6640 0.5000 Br
0.3360 0.1640 0.5000 Br
0.6640 0.8360 0.5000 Br
0.8360 0.3360 0.5000 Br

(2)
AsRu2Au | the Alexandria database | PBE | optimized geometry; DFT formation energy = 2.07 eV per formula unit
1.0
6.3306 0.0000 0.0000
0.0000 6.3306 0.0000
0.0000 0.0000 6.3306
As Ru Au
4 8 4
Direct
0.0000 0.0000 0.0000 As
0.0000 0.5000 0.5000 As
0.5000 0.0000 0.5000 As
0.5000 0.5000 0.0000 As
0.0000 0.0000 0.5000 Ru
0.0000 0.5000 0.0000 Ru
0.2500 0.2500 0.7500 Ru
0.2500 0.7500 0.2500 Ru
0.5000 0.0000 0.0000 Ru
0.5000 0.5000 0.5000 Ru
0.7500 0.2500 0.2500 Ru
0.7500 0.7500 0.7500 Ru
0.2500 0.2500 0.2500 Au
0.2500 0.7500 0.7500 Au
0.7500 0.2500 0.7500 Au
0.7500 0.7500 0.2500 Au

(3)
Y2BiBr | the Alexandria database | PBE | optimized geometry; ΔE_f (raw) = -80 kJ/mol of atoms
1.0
4.2600 0.0000 0.0000
-2.1300 3.6893 0.0000
0.0000 0.0000 22.8184
Y Bi Br
6 3 3
Direct
0.0000 0.0000 0.0000 Y
0.0000 0.0000 0.1741 Y
0.3333 0.6667 0.6667 Y
0.3333 0.6667 0.8408 Y
0.6667 0.3333 0.3333 Y
0.6667 0.3333 0.5074 Y
0.0000 0.0000 0.5857 Bi
0.3333 0.6667 0.2524 Bi
0.6667 0.3333 0.9190 Bi
0.0000 0.0000 0.7559 Br
0.3333 0.6667 0.4225 Br
0.6667 0.3333 0.0892 Br

(4)
YVCdTc2 | the Alexandria database | PBE | optimized geometry; DFT formation energy = 10.85 eV per formula unit
1.0
4.8949 0.0000 0.0000
0.0000 4.8949 0.0000
0.0000 0.0000 5.1728
Y V Cd Tc
1 1 1 2
Direct
0.0000 0.0000 0.0000 Y
0.5000 0.5000 0.0000 V
0.0000 0.0000 0.5000 Cd
0.0000 0.5000 0.5000 Tc
0.5000 0.0000 0.5000 Tc

Short version: E = -3.243, -6.102, -5.448, -5.277 eV per atom, in the order given.